Entry 1:
DFT (PBE) results for a geometry-optimized Er2BeC structure.

Cell lengths 3.4778, 3.4778, 25.6109 Å; angles 90.00, 90.00, 120.00 degrees
Space group R-3m (No. 166, hexagonal axes)
Symmetry-distinct sites (fractional):
Er 0.0000 0.0000 0.1151 x6
Be 0.0000 0.0000 0.0000 x3
C 0.0000 0.0000 0.5000 x3

For the density of states at the Fermi level, the calculation gives 0.727 states/eV per atom.

=====

Entry 2:
DFT (PBE) results for a geometry-optimized ErBe2Fe2C structure.

Cell lengths 3.733, 3.733, 4.982 Å; angles 90.00, 90.00, 90.00 degrees
Space group P4/mmm (No. 123)
Symmetry-distinct sites (fractional):
Er 0.000 0.000 0.000 x1
Be 0.500 0.500 0.240 x2
Fe 0.000 0.500 0.500 x2
C 0.000 0.000 0.500 x1

For the density of states at the Fermi level, the calculation gives 0.563 states/eV per atom.

=====

Entry 3:
DFT (PBE) results for a geometry-optimized Er2BeSiC structure.

Cell lengths 6.263, 3.692, 7.827 Å; angles 90.00, 107.75, 90.00 degrees
Space group P2_1/m (No. 11)
Symmetry-distinct sites (fractional):
Er 0.199 0.250 0.388 x2
Er 0.216 0.250 0.966 x2
Be 0.456 0.750 0.248 x2
Si 0.328 0.750 0.701 x2
C 0.174 0.750 0.174 x2

For the density of states at the Fermi level, the calculation gives 0.231 states/eV per atom.

=====

no.,raw total energy (eV per atom),magnetization (μB/f.u.)
1,-5.120,0.00
2,-6.620,0.00
3,-6.051,0.00